Record 1
The following is a DFT calculation (PBE) of crystalline Li4FeGe2Pt at its relaxed geometry. Values from VASP.

Properties
- space group = P-4m2
- volume (Å³ per cell) = 105.45
- final energy (eV for the cell shown) = -34.32

The structure in Quantum ESPRESSO input format:
```
&SYSTEM
  ibrav = 0, nat = 8, ntyp = 4
/
ATOMIC_SPECIES
Li 6.94 Li.upf
Fe 55.84 Fe.upf
Ge 72.64 Ge.upf
Pt 195.08 Pt.upf
ATOMIC_POSITIONS crystal
Li 0.0000 0.0000 0.0000
Li 0.0000 0.5000 0.7493
Li 0.5000 0.0000 0.2507
Li 0.5000 0.5000 0.5000
Fe 0.5000 0.5000 0.0000
Ge 0.0000 0.5000 0.2337
Ge 0.5000 0.0000 0.7663
Pt 0.0000 0.0000 0.5000
CELL_PARAMETERS angstrom
4.1768 0.0000 0.0000
0.0000 4.1768 0.0000
0.0000 0.0000 6.0442
```

Record 2
The following is a DFT calculation (PBE) of crystalline LiFeGeSb at its relaxed geometry. Values from VASP.

Properties
- space group = F-43m
- offset from the most stable computed form (eV per atom) = 0.302
- volume (Å³ per cell) = 73.10
- final energy (eV for the cell shown) = -17.67

The structure in Quantum ESPRESSO input format:
```
&SYSTEM
  ibrav = 0, nat = 4, ntyp = 4
/
ATOMIC_SPECIES
Li 6.94 Li.upf
Fe 55.84 Fe.upf
Ge 72.64 Ge.upf
Sb 121.76 Sb.upf
ATOMIC_POSITIONS crystal
Li 0.0000 0.0000 0.0000
Fe 0.7500 0.7500 0.7500
Ge 0.5000 0.5000 0.5000
Sb 0.2500 0.2500 0.2500
CELL_PARAMETERS angstrom
0.0000 3.3186 3.3186
3.3186 0.0000 3.3186
3.3186 3.3186 0.0000
```

Record 3
The following is a DFT calculation (PBE) of crystalline LiFeGeSb at its relaxed geometry. Values from VASP.

Properties
- space group = F-43m
- offset from the most stable computed form (eV per atom) = 0.000
- volume (Å³ per cell) = 60.37
- final energy (eV for the cell shown) = -18.88

The structure in Quantum ESPRESSO input format:
```
&SYSTEM
  ibrav = 0, nat = 4, ntyp = 4
/
ATOMIC_SPECIES
Li 6.94 Li.upf
Fe 55.84 Fe.upf
Ge 72.64 Ge.upf
Sb 121.76 Sb.upf
ATOMIC_POSITIONS crystal
Li 0.0000 0.0000 0.0000
Fe 0.5000 0.5000 0.5000
Ge 0.7500 0.7500 0.7500
Sb 0.2500 0.2500 0.2500
CELL_PARAMETERS angstrom
0.0000 3.1136 3.1136
3.1136 0.0000 3.1136
3.1136 3.1136 0.0000
```

Record 4
The following is a DFT calculation (PBE) of crystalline LiFeGeSe3 at its relaxed geometry. Values from VASP.

Properties
- space group = P2_1/m
- volume (Å³ per cell) = 235.36
- final energy (eV for the cell shown) = -55.77

The structure in Quantum ESPRESSO input format:
```
&SYSTEM
  ibrav = 0, nat = 12, ntyp = 4
/
ATOMIC_SPECIES
Li 6.94 Li.upf
Fe 55.84 Fe.upf
Ge 72.64 Ge.upf
Se 78.96 Se.upf
ATOMIC_POSITIONS crystal
Li 0.0520 0.2500 0.1491
Li 0.9480 0.7500 0.8509
Fe 0.4525 0.7500 0.8647
Fe 0.5475 0.2500 0.1353
Ge 0.3640 0.2500 0.5561
Ge 0.6360 0.7500 0.4439
Se 0.1667 0.7500 0.6536
Se 0.2626 0.2500 0.9458
Se 0.3647 0.7500 0.2304
Se 0.6353 0.2500 0.7696
Se 0.7374 0.7500 0.0542
Se 0.8333 0.2500 0.3464
CELL_PARAMETERS angstrom
6.1071 0.0000 0.0000
0.0000 3.7068 0.0000
-2.1404 0.0000 10.3967
```

Record 5
The following is a DFT calculation (PBE) of crystalline LiFeGeTe3 at its relaxed geometry. Values from VASP.

Properties
- space group = P2_1/m
- volume (Å³ per cell) = 274.06
- final energy (eV for the cell shown) = -51.03

The structure in Quantum ESPRESSO input format:
```
&SYSTEM
  ibrav = 0, nat = 12, ntyp = 4
/
ATOMIC_SPECIES
Li 6.94 Li.upf
Fe 55.84 Fe.upf
Ge 72.64 Ge.upf
Te 127.60 Te.upf
ATOMIC_POSITIONS crystal
Li 0.0423 0.2500 0.1428
Li 0.9577 0.7500 0.8572
Fe 0.4445 0.7500 0.8460
Fe 0.5555 0.2500 0.1540
Ge 0.3668 0.2500 0.5441
Ge 0.6332 0.7500 0.4559
Te 0.1486 0.7500 0.6476
Te 0.2802 0.2500 0.9503
Te 0.3539 0.7500 0.2400
Te 0.6461 0.2500 0.7600
Te 0.7198 0.7500 0.0497
Te 0.8514 0.2500 0.3524
CELL_PARAMETERS angstrom
5.9870 0.0000 0.0000
0.0000 4.0054 0.0000
-2.1140 0.0000 11.4285
```

Record 6
The following is a DFT calculation (PBE) of crystalline LiYFeGe at its relaxed geometry. Values from VASP.

Properties
- space group = F-43m
- offset from the most stable computed form (eV per atom) = 0.015
- volume (Å³ per cell) = 67.85
- final energy (eV for the cell shown) = -21.96

The structure in Quantum ESPRESSO input format:
```
&SYSTEM
  ibrav = 0, nat = 4, ntyp = 4
/
ATOMIC_SPECIES
Li 6.94 Li.upf
Y 88.91 Y.upf
Fe 55.84 Fe.upf
Ge 72.64 Ge.upf
ATOMIC_POSITIONS crystal
Li 0.0000 0.0000 0.0000
Y 0.2500 0.2500 0.2500
Fe 0.7500 0.7500 0.7500
Ge 0.5000 0.5000 0.5000
CELL_PARAMETERS angstrom
0.0000 3.2372 3.2372
3.2372 0.0000 3.2372
3.2372 3.2372 0.0000
```

Record 7
The following is a DFT calculation (PBE) of crystalline LiYFeGe at its relaxed geometry. Values from VASP.

Properties
- space group = F-43m
- offset from the most stable computed form (eV per atom) = 0.000
- volume (Å³ per cell) = 64.43
- final energy (eV for the cell shown) = -22.02

The structure in Quantum ESPRESSO input format:
```
&SYSTEM
  ibrav = 0, nat = 4, ntyp = 4
/
ATOMIC_SPECIES
Li 6.94 Li.upf
Y 88.91 Y.upf
Fe 55.84 Fe.upf
Ge 72.64 Ge.upf
ATOMIC_POSITIONS crystal
Li 0.0000 0.0000 0.0000
Y 0.7500 0.7500 0.7500
Fe 0.5000 0.5000 0.5000
Ge 0.2500 0.2500 0.2500
CELL_PARAMETERS angstrom
0.0000 3.1818 3.1818
3.1818 0.0000 3.1818
3.1818 3.1818 0.0000
```

Record 8
The following is a DFT calculation (PBE) of crystalline LiZrFeGe at its relaxed geometry. Values from VASP.

Properties
- space group = F-43m
- offset from the most stable computed form (eV per atom) = 0.237
- volume (Å³ per cell) = 60.83
- final energy (eV for the cell shown) = -23.79

The structure in Quantum ESPRESSO input format:
```
&SYSTEM
  ibrav = 0, nat = 4, ntyp = 4
/
ATOMIC_SPECIES
Li 6.94 Li.upf
Zr 91.22 Zr.upf
Fe 55.84 Fe.upf
Ge 72.64 Ge.upf
ATOMIC_POSITIONS crystal
Li 0.0000 0.0000 0.0000
Zr 0.2500 0.2500 0.2500
Fe 0.7500 0.7500 0.7500
Ge 0.5000 0.5000 0.5000
CELL_PARAMETERS angstrom
0.0000 3.1214 3.1214
3.1214 0.0000 3.1214
3.1214 3.1214 0.0000
```